The following is a DFT calculation (SCAN) of a PBEsol-optimized structure of Tl2AsRh.

Cell: 3.2790 3.2790 9.0750 Å, 79.59 79.59 60.00°
Fractional positions:
Tl  0.2582  0.2582  0.2254
Tl  0.7418  0.7418  0.7746
As  0.5000  0.5000  0.5000
Rh  0.0000  0.0000  0.0000

Properties
As for the energy relative to the lowest polymorph listed for this composition: 494 meV/atom. The formation energy from the elements comes out at 0.38 eV/atom. The density is 11.787 g cm⁻³. The total moment comes out at 0.0 μB/cell. Its symmetry is No. 166.



The following is a DFT calculation (SCAN) of a PBEsol-optimized structure of AsRhW2.

Cell: 3.1917 3.1917 5.9455 Å, 90.00 90.00 90.00°
Fractional positions:
W  0.5000  0.5000  0.2581
W  0.0000  0.0000  0.9890
Rh  0.5000  0.5000  0.7632
As  0.0000  0.0000  0.4898

Properties
The formation energy from the elements comes out at 0.14 eV/atom. The density is 14.956 g cm⁻³. The total moment comes out at 0.0 μB/cell. Its symmetry is No. 99.



The following is a DFT calculation (SCAN) of a PBEsol-optimized structure of As2RhW.

Cell: 3.1067 4.1834 5.3517 Å, 113.01 106.87 90.00°
Fractional positions:
W  0.2547  0.7547  0.5093
As  0.9935  0.9935  0.9870
As  0.7669  0.2669  0.5338
Rh  0.4849  0.4849  0.9699

Properties
As for the energy relative to the lowest polymorph listed for this composition: 246 meV/atom. The formation energy from the elements comes out at 0.18 eV/atom. The density is 11.933 g cm⁻³. The total moment comes out at 0.0 μB/cell. Its symmetry is No. 44.



The following is a DFT calculation (SCAN) of a PBEsol-optimized structure of As2RhW.

Cell: 4.4431 4.4431 4.4431 Å, 60.00 60.00 60.00°
Fractional positions:
W  0.2500  0.2500  0.2500
Rh  0.5000  0.5000  0.5000
As  0.0000  0.0000  0.0000
As  0.7500  0.7500  0.7500

Properties
As for the energy relative to the lowest polymorph listed for this composition: 571 meV/atom. The formation energy from the elements comes out at 0.50 eV/atom. The density is 11.689 g cm⁻³. The total moment comes out at 0.0 μB/cell. Its symmetry is No. 216.



- total moment of number 1 (Tl2AsRh)?
  0.0 μB/cell



- Look up the total moment of the first one.
  0.0 μB/cell



- Number 4 is which compound?
  As2RhW